# BaMnBr

A geometry-optimized BaMnBr structure (PBE, Alexandria via LeMat-Bulk).

The structure belongs to space group Fmm2 (No. 42); the cell edges are 5.679, 5.691 and 12.765 Å and the angles 90.00°, 90.00° and 90.00°. The distinct sites, in fractional coordinates, are Ba at (0.000, 0.000, 0.000), Mn at (0.000, 0.000, 0.327) and Br at (0.000, 0.000, 0.650).

The total energy comes out at -0.16367 hartree per atom. The calculation puts the uncorrected formation energy at -199 meV/atom. The energy above the most stable polymorph in this dataset is 0.0 meV/atom. The total magnetization comes out at 4.00 μB per formula unit.

---

# BaMn2Br

A geometry-optimized BaMn2Br structure (PBE, Alexandria via LeMat-Bulk).

The structure belongs to space group P4mm (No. 99); the cell edges are 3.843, 3.843 and 7.682 Å and the angles 90.00°, 90.00° and 90.00°. The distinct sites, in fractional coordinates, are Ba at (0.000, 0.000, 0.000), Mn at (0.000, 0.000, 0.591), Mn at (0.500, 0.500, 0.651) and Br at (0.500, 0.500, 0.255).

The total energy comes out at -0.19656 hartree per atom. The calculation puts the uncorrected formation energy at 135 meV/atom. The energy above the most stable polymorph in this dataset is 101.7 meV/atom. The total magnetization comes out at 7.97 μB per formula unit.